A plane-wave DFT calculation with GGA-PBE was carried out for an optimized crystal structure of ErScAgPd.

POSCAR file:
```
ErScAgPd
1.0
3.4421 0.0000 0.0000
0.0000 3.4421 0.0000
0.0000 0.0000 6.9881
Er Sc Ag Pd
1 1 1 1
direct
0.0000 0.0000 0.0000 Er
0.0000 0.0000 0.4799 Sc
0.5000 0.5000 0.7201 Ag
0.5000 0.5000 0.2576 Pd
```

Summary:
The value obtained for the mass density is 8.554 Mg/m³. As for the density of states at the Fermi level: 2.97 states/eV per cell. The energy of formation comes out at -598.6 meV per atom. The space group is P4mm, No. 99.